Ho5TlRh, optimized geometry, DFT PBE; calculated formation energy = -254 meV per atom; calculated density = 9.658 g cm⁻³; space group = C2/c; spin magnetization = 0.00 μB/f.u.; N(E_F) = 14.3 states/eV/cell; energy = -4.912 eV per atom
1.0
4.5843 -3.7210 0.0000
4.5843 3.7210 0.0000
-3.2150 0.0000 11.4090
Ho Tl Rh
10 2 2
Direct
0.0029 0.9971 0.7500
0.0814 0.4178 0.6232
0.2115 0.5411 0.9349
0.4178 0.0814 0.1232
0.4589 0.7885 0.5651
0.5411 0.2115 0.4349
0.5822 0.9186 0.8768
0.7885 0.4589 0.0651
0.9186 0.5822 0.3768
0.9971 0.0029 0.2500
0.4050 0.5950 0.2500
0.5950 0.4050 0.7500
0.0000 0.0000 0.0000
0.0000 0.0000 0.5000